Computed, not measured: a relaxed structure of CoRe3 at the PBE level of DFT.

Unit cell a=5.4017 b=5.4017 c=4.3379 alpha=90.00 beta=90.00 gamma=120.00
Site moments in Bohr magnetons follow the coordinates.
Positions (direct):
Re  0.3325  0.1663  0.7500  0.01
Re  0.1662  0.8337  0.2500  0.00
Re  0.8338  0.6675  0.7500  0.00
Re  0.6675  0.8337  0.2500  0.01
Re  0.8337  0.1663  0.7500  0.00
Re  0.1662  0.3325  0.2500  0.00
Co  0.6667  0.3333  0.2500  0.08
Co  0.3333  0.6667  0.7500  0.08

Computed properties:
Energy of formation, eV per atom: -0.067
Space group: P6_3/mmc, No. 194
Crystal system: hexagonal
Uncorrected energy, eV/atom: -11.1611